a) Below is BeVGaCl2 after structural relaxation, with properties calculated at the PBE-GGA level.

a = 4.059 Å, b = 7.331 Å, c = 4.059 Å
α = 90.00°, β = 90.00°, γ = 90.00°
Each line ends with the local moment (μB).
Positions (direct):
Cl 0.500 0.000 0.000  0.01
Cl 0.000 0.000 0.500  0.01
Ga 0.000 0.500 0.000  0.03
Be 0.000 0.000 0.000  0.00
V 0.500 0.500 0.500  0.35

b) Below is BeVGaCl2 after structural relaxation, with properties calculated at the PBE-GGA level.

a = 4.163 Å, b = 5.471 Å, c = 4.163 Å
α = 90.00°, β = 90.00°, γ = 90.00°
Positions (direct):
Ga 0.500 0.500 0.500
Cl 0.500 0.000 0.000
Cl 0.000 0.000 0.500
Be 0.000 0.000 0.000
V 0.000 0.500 0.000

Name the least stable of them. b).